First-principles (PBE) data for a geometry-optimized La14DyZr structure, as listed in the Alexandria database.

Values from the calculation:
raw total energy	-5.092	eV per atom
magnetization	0.0	μB per formula unit

```
data_La14DyZr
_cell_length_a 10.3476
_cell_length_b 10.3636
_cell_length_c 10.4440
_cell_angle_alpha 90.00
_cell_angle_beta 90.00
_cell_angle_gamma 90.00
_space_group_name_H-M_alt 'C m m m'
_space_group_IT_number 65
_space_group_name_Hall '-C 2 2'
loop_
_atom_site_label
_atom_site_fract_x
_atom_site_fract_y
_atom_site_fract_z
La1 0.0000 0.0000 0.0000
La2 0.0000 0.2420 0.2582
La3 0.0000 0.5000 0.0000
La4 0.2419 0.0000 0.2586
La5 0.2500 0.2500 0.0000
La6 0.2500 0.2500 0.5000
Dy1 0.0000 0.5000 0.5000
Zr1 0.0000 0.0000 0.5000
```

***

First-principles (PBE) data for a geometry-optimized LaDyZr structure, as listed in the Alexandria database.

Values from the calculation:
raw total energy	-5.904	eV per atom
magnetization	0.0	μB per formula unit
polymorph energy (0 for the lowest one)	14	meV per atom

```
data_LaDyZr
_cell_length_a 3.4646
_cell_length_b 3.4646
_cell_length_c 8.5293
_cell_angle_alpha 90.00
_cell_angle_beta 90.00
_cell_angle_gamma 120.00
_space_group_name_H-M_alt 'P 3 m 1'
_space_group_IT_number 156
loop_
_space_group_symop_operation_xyz
'x,y,z'
'-y,x-y,z'
'-x+y,-x,z'
'-y,-x,z'
'-x+y,y,z'
'x,x-y,z'
loop_
_atom_site_label
_atom_site_fract_x
_atom_site_fract_y
_atom_site_fract_z
La1 0.0000 0.0000 0.0000
Dy1 0.3333 0.6667 0.6282
Zr1 0.6667 0.3333 0.3212
```

***

Number 1: DOS at the Fermi energy 1.672 states/eV per atom. Number 2: DOS at the Fermi energy 1.267 states/eV per atom.